1.
# Rb2BiAu3 PBE optimized geometry
# Formation energy from the elements, eV per formula unit: -1.9
data_Rb2BiAu3
_chemical_formula_sum 'Rb4 Bi2 Au6'
_cell_length_a 5.999
_cell_length_b 6.952
_cell_length_c 9.202
_cell_angle_alpha 90.00
_cell_angle_beta 90.00
_cell_angle_gamma 90.00
_symmetry_space_group_name_H-M 'P m m a'
_symmetry_Int_Tables_number 51
_symmetry_space_group_name_Hall '-P 2a 2a'
loop_
_atom_site_label
_atom_site_type_symbol
_atom_site_fract_x
_atom_site_fract_y
_atom_site_fract_z
Rb1 Rb 0.250 0.000 0.128
Rb2 Rb 0.250 0.500 0.366
Bi1 Bi 0.250 0.000 0.587
Au1 Au 0.000 0.500 0.000
Au2 Au 0.250 0.297 0.788

=====

2.
# ZrTe2Se PBE optimized geometry
# Uncorrected formation energy, meV per atom: -173
data_ZrTe2Se
_chemical_formula_sum 'Zr2 Te4 Se2'
_cell_length_a 6.078
_cell_length_b 9.094
_cell_length_c 4.051
_cell_angle_alpha 90.00
_cell_angle_beta 114.60
_cell_angle_gamma 90.00
_symmetry_space_group_name_H-M 'C 1 2/m 1'
_symmetry_Int_Tables_number 12
_symmetry_space_group_name_Hall '-C 2y'
loop_
_atom_site_label
_atom_site_type_symbol
_atom_site_fract_x
_atom_site_fract_y
_atom_site_fract_z
Zr1 Zr 0.000 0.000 0.000
Te1 Te 0.250 0.250 0.500
Se1 Se 0.000 0.500 0.000